# 1
A geometry-optimized LaNd6Ho3Er2 structure. Source: Alexandria via LeMat-Bulk, functional PBE.

```
LaNd6Ho3Er2
1.0
6.284 -0.001 0.021
-3.142 5.443 0.021
-1.087 -1.882 11.727
Er Nd Ho La
2 6 3 1
Cartesian
3.140 1.815 0.021 Er
0.002 3.627 0.021 Er
-0.027 -0.046 8.778 Nd
2.093 -0.016 2.968 Nd
3.115 1.754 8.801 Nd
-1.060 1.805 2.968 Nd
-0.037 3.575 8.801 Nd
2.083 3.606 2.991 Nd
1.028 1.780 5.885 Ho
-2.110 3.592 5.885 Ho
4.166 -0.032 5.885 Ho
0.000 0.000 0.000 La
```

## Properties
E: -56.18 eV/cell
space-group type: C2/m, No. 12

=====

# 2
A geometry-optimized LaNd3Ho6Er2 structure. Source: Alexandria via LeMat-Bulk, functional PBE.

```
LaNd3Ho6Er2
1.0
-5.639 -1.498 2.110
3.472 -4.268 -2.867
5.369 -1.175 10.484
Nd Ho Er La
3 6 2 1
Cartesian
1.601 -3.470 4.864 Nd
-1.432 -2.548 6.520 Nd
4.635 -4.393 3.207 Nd
3.490 -2.333 7.688 Ho
3.937 -5.667 6.479 Ho
2.316 -2.201 1.582 Ho
-0.287 -4.607 2.039 Ho
-0.734 -1.273 3.248 Ho
0.887 -4.740 8.145 Ho
-2.603 -2.421 0.451 Er
0.436 -3.345 -1.208 Er
0.000 0.000 0.000 La
```

## Properties
E: -55.58 eV/cell
space-group type: C2/m, No. 12

=====

# 3
A geometry-optimized La3NdHoEr structure. Source: Alexandria via LeMat-Bulk, functional PBE.

```
La3NdHoEr
1.0
5.219 0.000 0.000
0.000 8.031 -1.064
0.000 -3.409 10.394
Nd La Ho Er
2 6 2 2
Cartesian
3.914 4.643 6.417 Nd
1.305 -0.021 2.913 Nd
1.305 -2.238 9.807 La
1.305 3.490 4.099 La
1.305 2.274 7.582 La
3.914 1.132 5.231 La
3.914 6.860 -0.477 La
3.914 2.348 1.748 La
3.914 5.755 2.981 Ho
1.305 -1.133 6.349 Ho
1.305 4.615 0.641 Er
3.914 0.007 8.689 Er
```

## Properties
E: -57.00 eV/cell
space-group type: P2_1/m, No. 11

=====

# 4
A geometry-optimized LaNdHo5Er2 structure. Source: Alexandria via LeMat-Bulk, functional PBE.

```
LaNdHo5Er2
1.0
-6.485 4.858 -3.779
-5.361 -1.762 6.935
8.429 4.499 1.896
Ho La Er Nd
10 2 4 2
Cartesian
2.713 2.686 5.106 Ho
-1.046 4.946 3.885 Ho
0.000 0.000 0.000 Ho
-5.923 1.548 1.578 Ho
-4.426 1.301 4.998 Ho
1.009 6.295 0.053 Ho
-2.370 2.650 1.167 Ho
-8.185 3.560 3.777 Ho
-6.130 4.909 -0.054 Ho
4.768 4.035 1.274 Ho
1.253 3.024 1.737 La
-4.670 4.572 3.315 La
-4.584 2.780 -1.532 Er
-7.261 0.317 4.687 Er
-2.808 -0.131 2.253 Er
-9.038 3.227 0.902 Er
-1.989 5.453 -0.153 Nd
-1.428 2.143 5.204 Nd
```

## Properties
E: -78.38 eV/cell
space-group type: I4/mcm, No. 140

=====

# 5
A geometry-optimized La5Nd2HoEr structure. Source: Alexandria via LeMat-Bulk, functional PBE.

```
La5Nd2HoEr
1.0
-6.140 -0.986 5.954
1.850 -8.392 0.517
7.986 6.365 3.065
Er La Nd Ho
2 10 4 2
Cartesian
3.845 -3.359 3.409 Er
-0.149 0.344 6.127 Er
1.654 -5.790 3.502 La
2.041 2.776 6.034 La
-1.309 -6.765 6.508 La
3.319 -1.363 5.951 La
0.377 -1.651 3.585 La
6.282 -0.389 2.945 La
-2.587 -2.625 6.591 La
-2.145 -4.689 3.235 La
0.000 0.000 0.000 La
5.005 3.751 3.028 La
-0.686 -7.718 2.688 Nd
-3.604 -1.661 3.783 Nd
-4.220 -6.105 5.535 Nd
-0.070 -3.274 0.935 Nd
0.775 -3.852 6.386 Ho
2.920 0.838 3.150 Ho
```

## Properties
E: -81.83 eV/cell
space-group type: I4/mcm, No. 140

=====

# 6
A geometry-optimized LaNd3Ho2Er6 structure. Source: Alexandria via LeMat-Bulk, functional PBE.

```
LaNd3Ho2Er6
1.0
6.199 0.000 0.009
-3.098 5.370 0.009
-1.046 -1.812 11.599
La Er Nd Ho
1 6 3 2
Cartesian
0.000 0.000 0.000 La
-0.006 -0.010 8.715 Er
3.093 1.765 8.725 Er
-1.039 1.793 2.892 Er
2.061 3.568 2.902 Er
-0.017 3.562 8.725 Er
2.072 -0.004 2.892 Er
4.123 -0.009 5.808 Nd
1.027 1.779 5.808 Nd
-2.068 3.567 5.808 Nd
0.000 3.580 0.009 Ho
3.101 1.789 0.009 Ho
```

## Properties
E: -55.52 eV/cell
space-group type: C2/m, No. 12

=====

# 7
A geometry-optimized LaNdHoEr structure. Source: Alexandria via LeMat-Bulk, functional PBE.

```
LaNdHoEr
1.0
-2.073 -2.457 2.063
2.947 -4.523 -2.424
1.490 1.269 6.667
La Nd Er Ho
1 1 1 1
Cartesian
-0.013 -1.231 2.280 La
0.958 -2.491 5.812 Nd
0.452 -4.788 2.258 Er
3.328 -3.499 3.351 Ho
```

## Properties
E above lowest polymorph: 0.007 eV per atom
space-group type: Cm, No. 8

=====

# 8
A geometry-optimized LaNdHoEr structure. Source: Alexandria via LeMat-Bulk, functional PBE.

```
LaNdHoEr
1.0
5.761 0.000 0.000
2.881 4.989 0.000
2.881 1.663 4.704
Er Nd La Ho
1 1 1 1
Cartesian
5.761 3.326 2.352 Er
8.642 4.989 3.528 Nd
2.881 1.663 1.176 La
0.000 0.000 0.000 Ho
```

## Properties
E above lowest polymorph: 0.000 eV per atom
space-group type: F-43m, No. 216

=====

# 9
A geometry-optimized LaNd6Ho2Er structure. Source: Alexandria via LeMat-Bulk, functional PBE.

```
LaNd6Ho2Er
1.0
12.140 -2.226 -2.311
0.932 7.490 -0.862
0.932 -1.139 7.452
Nd Ho La Er
12 4 2 2
Cartesian
2.046 -0.190 6.716 Nd
7.038 3.866 1.780 Nd
7.360 1.520 -0.676 Nd
6.966 0.258 2.499 Nd
12.714 3.743 1.631 Nd
13.108 0.523 2.774 Nd
8.116 5.606 -1.096 Nd
6.644 2.605 4.956 Nd
11.958 4.314 -2.437 Nd
5.888 -1.482 5.376 Nd
1.290 0.381 2.649 Nd
0.896 3.601 1.506 Nd
4.136 1.957 0.743 Ho
10.206 -0.443 0.828 Ho
3.798 4.567 3.452 Ho
9.868 2.167 3.537 Ho
10.037 -1.477 4.437 La
3.967 5.602 -0.157 La
10.037 3.115 0.011 Er
3.967 1.009 4.268 Er
```

## Properties
E: -90.83 eV/cell
space-group type: C2/c, No. 15

=====

# 10
A geometry-optimized La2NdHo6Er3 structure. Source: Alexandria via LeMat-Bulk, functional PBE.

```
La2NdHo6Er3
1.0
-4.873 -1.163 3.637
5.703 0.104 2.407
-1.389 11.725 0.131
La Ho Er Nd
2 6 3 1
Cartesian
-1.347 -0.740 3.227 La
2.177 -0.318 2.817 La
1.614 2.946 1.356 Ho
0.269 2.204 4.587 Ho
-0.829 8.462 1.588 Ho
-2.174 7.720 4.819 Ho
-1.907 2.524 1.765 Ho
1.347 8.142 4.410 Ho
3.248 5.755 2.677 Er
-3.807 4.910 3.497 Er
-0.280 5.333 3.087 Er
0.000 0.000 0.000 Nd
```

## Properties
E: -55.48 eV/cell
space-group type: C2/m, No. 12

=====

# 11
A geometry-optimized La2Nd3Ho6Er structure. Source: Alexandria via LeMat-Bulk, functional PBE.

```
La2Nd3Ho6Er
1.0
6.247 0.000 0.012
-3.122 5.411 0.012
-1.061 -1.837 11.657
Ho Nd La Er
6 3 2 1
Cartesian
-0.019 -0.033 8.741 Ho
-1.041 1.791 2.924 Ho
2.071 -0.007 2.924 Ho
-0.008 3.581 8.757 Ho
2.083 3.607 2.940 Ho
3.105 1.783 8.757 Ho
4.154 -0.016 5.841 Nd
-2.090 3.590 5.841 Nd
1.032 1.787 5.841 Nd
0.006 3.604 0.012 La
3.119 1.806 0.012 La
0.000 0.000 0.000 Er
```

## Properties
E: -56.00 eV/cell
space-group type: C2/m, No. 12

=====

# 12
A geometry-optimized La3NdHo2Er6 structure. Source: Alexandria via LeMat-Bulk, functional PBE.

```
La3NdHo2Er6
1.0
-0.135 -5.589 -2.725
2.971 4.725 -2.743
8.835 -2.648 7.357
Nd Er La Ho
1 6 3 2
Cartesian
0.000 0.000 0.000 Nd
4.290 -1.296 -2.280 Er
7.382 -2.216 4.170 Er
8.279 -4.369 1.445 Er
9.317 -0.925 1.439 Er
2.355 -2.587 0.450 Er
3.393 0.858 0.444 Er
5.836 -1.756 0.945 La
4.801 -5.193 0.951 La
6.871 1.682 0.939 La
1.936 1.289 -2.737 Ho
0.900 -2.153 -2.731 Ho
```

## Properties
E: -55.82 eV/cell
space-group type: C2/m, No. 12